LaSi2Rh5: relaxed, PBE.

## Properties
Energy relative to the elements, uncorrected, eV/atom: -0.80
Calculated total energy, eV/atom: -7.371

abc: 3.913 6.735 9.952
angles: 90.00 90.00 90.00
Space group Immm (No. 71)
Unique sites:
La  0.000  0.000  0.000
Si  0.000  0.500  0.232
Rh  0.000  0.201  0.352
Rh  0.000  0.500  0.000